No. 1
This record from Alexandria describes crystalline La8Pm2Dy3 at its relaxed geometry. The functional is PBE.

```
La8Pm2Dy3
1.0
5.8044 0.0000 0.0000
0.0294 7.7755 0.0000
0.0187 3.0540 10.3725
La Pm Dy
8 2 3
direct
0.0004 0.0779 0.2287 La
0.0002 0.3986 0.8468 La
0.9998 0.6014 0.1532 La
0.9996 0.9221 0.7713 La
0.4985 0.2311 0.6990 La
0.4989 0.3709 0.2845 La
0.5011 0.6291 0.7155 La
0.5015 0.7689 0.3010 La
0.5005 0.2269 0.0181 Pm
0.4995 0.7731 0.9819 Pm
0.0018 0.7177 0.5085 Dy
0.5000 0.0000 0.5000 Dy
0.9982 0.2823 0.4915 Dy
```

Computed properties:
**Energy relative to the lowest polymorph listed for this composition**: 31 meV/atom

---

No. 2
This record from Alexandria describes crystalline CdIn6Sn3 at its relaxed geometry. The functional is PBE.

```
CdIn6Sn3
1.0
11.9712 0.0000 0.0000
0.0000 3.3884 0.0000
-4.9270 0.0000 13.5151
Cd In Sn
2 12 6
direct
0.0697 0.2500 0.1833 Cd
0.9303 0.7500 0.8167 Cd
0.1274 0.2500 0.9847 In
0.1730 0.7500 0.3804 In
0.1788 0.7500 0.7941 In
0.3014 0.7500 0.1941 In
0.3245 0.2500 0.5827 In
0.4427 0.7500 0.7925 In
0.5573 0.2500 0.2075 In
0.6755 0.7500 0.4173 In
0.6986 0.2500 0.8059 In
0.8212 0.2500 0.2059 In
0.8270 0.2500 0.6196 In
0.8726 0.7500 0.0153 In
0.0750 0.2500 0.5924 Sn
0.3848 0.7500 0.0067 Sn
0.4296 0.2500 0.3985 Sn
0.5704 0.7500 0.6015 Sn
0.6152 0.2500 0.9933 Sn
0.9250 0.7500 0.4076 Sn
```

---

No. 3
This record from Alexandria describes crystalline CsHfTeO5 at its relaxed geometry. The functional is PBE.

```
CsHfTeO5
1.0
3.8977 -5.1450 0.0000
3.8977 5.1450 0.0000
-3.3325 0.0000 7.1687
Cs Hf Te O
2 2 2 10
direct
0.1702 0.8298 0.7500 Cs
0.8298 0.1702 0.2500 Cs
0.5000 0.5000 0.0000 Hf
0.5000 0.5000 0.5000 Hf
0.1919 0.8081 0.2500 Te
0.8081 0.1919 0.7500 Te
0.1338 0.2976 0.9057 O
0.2230 0.6091 0.3939 O
0.2976 0.1338 0.4057 O
0.3909 0.7770 0.1061 O
0.4539 0.5461 0.7500 O
0.5461 0.4539 0.2500 O
0.6091 0.2230 0.8939 O
0.7024 0.8662 0.5943 O
0.7770 0.3909 0.6061 O
0.8662 0.7024 0.0943 O
```

Computed properties:
**Uncorrected formation energy**: -1.9112 eV/atom

---

No. 4
This record from Alexandria describes crystalline Tl2In8Pb3 at its relaxed geometry. The functional is PBE.

```
Tl2In8Pb3
1.0
7.0350 0.0000 0.0000
0.0000 4.9648 0.0000
-0.4452 0.0000 11.2070
Tl In Pb
2 8 3
direct
0.2484 0.0000 0.4363 Tl
0.7516 0.0000 0.5637 Tl
0.1450 0.5000 0.2247 In
0.1596 0.0000 0.7162 In
0.4218 0.0000 0.1473 In
0.4319 0.5000 0.6360 In
0.5681 0.5000 0.3640 In
0.5782 0.0000 0.8527 In
0.8404 0.0000 0.2838 In
0.8550 0.5000 0.7753 In
0.0000 0.0000 0.0000 Pb
0.2890 0.5000 0.9251 Pb
0.7110 0.5000 0.0749 Pb
```

---

Number 1: calculated total energy -4.65 eV/atom, DOS(E_F) 1.570 states/eV/atom. Number 2: calculated total energy -2.89 eV/atom, DOS(E_F) 0.430 states/eV/atom. Number 3: calculated total energy -6.75 eV/atom, DOS(E_F) 0.276 states/eV/atom. Number 4: calculated total energy -2.86 eV/atom, DOS(E_F) 0.384 states/eV/atom.